Computed, not measured: Ac3PuFe2N6 after structural relaxation at the PBE-GGA level of DFT.

Calculated values
density of states at the Fermi level	0.55	states/eV per atom
E_form (uncorrected)	-791	meV per atom

Cell lengths 5.8942, 5.8942, 6.8145 Å; angles 90.00, 90.00, 120.00 degrees
With the nearest neighbours (Å) after each atom.
Fractional coordinates of all 12 atoms:
Fe 0.3333 0.6667 0.2083  3 N 1.75
N 0.8266 0.6531 0.6975  1 Fe 1.75
N 0.8266 0.1734 0.6975  1 Fe 1.75
Ac 0.3333 0.6667 0.6705  9 N 2.95-2.99, 1 Fe 3.15
Fe 0.6667 0.3333 0.7917  3 N 1.75
Pu 0.0000 0.0000 0.5000  6 N 2.22
Ac 0.0000 0.0000 0.0000  6 N 2.72
N 0.1734 0.3469 0.3025  1 Fe 1.75
Ac 0.6667 0.3333 0.3295  9 N 2.95-2.99, 1 Fe 3.15
N 0.1734 0.8266 0.3025  1 Fe 1.75
N 0.3469 0.1734 0.6975  1 Fe 1.75
N 0.6531 0.8266 0.3025  1 Fe 1.75

---

Computed, not measured: Ac2PuFeN5 after structural relaxation at the PBE-GGA level of DFT.

Calculated values
density of states at the Fermi level	0.93	states/eV per atom
E_form (uncorrected)	-817	meV per atom

Cell lengths 3.5551, 7.5162, 10.8413 Å; angles 90.00, 90.00, 103.68 degrees
With the nearest neighbours (Å) after each atom.
Fractional coordinates of all 18 atoms:
N 0.2937 0.5874 0.6565  2 Pu 2.27
N 0.4950 0.9901 0.7857  1 Fe 1.77
N 0.5050 0.0099 0.2857  1 Fe 1.77
N 0.6751 0.3503 0.8965  1 Fe 1.92
Fe 0.5464 0.0928 0.9341  4 N 1.77-1.92
Ac 0.8872 0.7744 0.1839  5 N 2.66-2.71
N 0.6647 0.3293 0.5139  1 Pu 2.09
N 0.9636 0.9272 0.4937  2 Fe 1.90
Ac 0.1128 0.2256 0.6839  5 N 2.66-2.71
Ac 0.1331 0.2663 0.3323  7 N 2.63-2.89
Fe 0.4536 0.9072 0.4341  4 N 1.77-1.92
N 0.3353 0.6707 0.0139  1 Pu 2.09
N 0.7063 0.4126 0.1565  2 Pu 2.27
Pu 0.8075 0.6150 0.5274  6 N 2.09-2.31
N 0.0364 0.0728 0.9937  2 Fe 1.90
N 0.3249 0.6497 0.3965  1 Fe 1.92
Ac 0.8669 0.7337 0.8323  7 N 2.63-2.89
Pu 0.1925 0.3850 0.0274  6 N 2.09-2.31

---

Computed, not measured: Ac2PuFe2N6 after structural relaxation at the PBE-GGA level of DFT.

Calculated values
density of states at the Fermi level	0.56	states/eV per atom
E_form (uncorrected)	-689	meV per atom

Cell lengths 5.8893, 5.8893, 6.5321 Å; angles 63.21, 63.21, 60.00 degrees
With the nearest neighbours (Å) after each atom.
Fractional coordinates of all 11 atoms:
N 0.2377 0.7522 0.2579  1 Fe 1.75
N 0.2478 0.7623 0.7421  1 Fe 1.75
Fe 0.5723 0.5723 0.2831  3 N 1.75
N 0.7623 0.2478 0.7421  1 Fe 1.75
N 0.2478 0.2478 0.7421  1 Fe 1.75
N 0.7522 0.7522 0.2579  1 Fe 1.75
Pu 0.0000 0.0000 0.0000  6 N 2.19
Ac 0.2205 0.2205 0.3384  9 N 2.79-2.98
N 0.7522 0.2377 0.2579  1 Fe 1.75
Ac 0.7795 0.7795 0.6616  9 N 2.79-2.98
Fe 0.4277 0.4277 0.7169  3 N 1.75

---

Computed, not measured: AcFe2SiN after structural relaxation at the PBE-GGA level of DFT.

Calculated values
density of states at the Fermi level	0.83	states/eV per atom
E_form (uncorrected)	-534	meV per atom

Cell lengths 4.0230, 5.7982, 6.8447 Å; angles 90.00, 90.00, 110.30 degrees
With the nearest neighbours (Å) after each atom.
Fractional coordinates of all 10 atoms:
Fe 0.8395 0.6790 0.4385  1 N 1.80
Ac 0.5578 0.1156 0.2500  4 N 2.71
N 0.0000 0.0000 0.5000  2 Fe 1.80
Fe 0.8395 0.6790 0.0615  1 N 1.80
Si 0.7239 0.4478 0.7500  6 Fe 2.48-2.49
Ac 0.4422 0.8844 0.7500  4 N 2.71
Fe 0.1605 0.3210 0.9385  1 N 1.80
Fe 0.1605 0.3210 0.5615  1 N 1.80
Si 0.2761 0.5522 0.2500  6 Fe 2.48-2.49
N 0.0000 0.0000 0.0000  2 Fe 1.80

---

Computed, not measured: SrAcFeN2 after structural relaxation at the PBE-GGA level of DFT.

Calculated values
density of states at the Fermi level	0.66	states/eV per atom
E_form (uncorrected)	-483	meV per atom

Cell lengths 5.6816, 5.4378, 7.1799 Å; angles 90.02, 90.00, 90.00 degrees
With the nearest neighbours (Å) after each atom.
Fractional coordinates of all 10 atoms:
N 0.7557 0.7791 0.0001  1 Fe 1.84
Fe 0.0000 0.0000 0.5000  2 N 1.84
N 0.7557 0.2209 0.4999  1 Fe 1.84
Fe 0.0000 0.0000 0.0000  2 N 1.84
Ac 0.4998 0.0000 0.2500  4 N 2.60
N 0.2443 0.2209 0.9999  1 Fe 1.84
Ac 0.5002 0.0000 0.7500  4 N 2.60
Sr 0.0002 0.5000 0.7500  4 N 2.73
Sr 0.9998 0.5000 0.2500  4 N 2.73
N 0.2443 0.7791 0.5001  1 Fe 1.84

---

Computed, not measured: Ac2FeTc2N6 after structural relaxation at the PBE-GGA level of DFT.

Calculated values
density of states at the Fermi level	0.60	states/eV per atom
E_form (uncorrected)	-315	meV per atom

Cell lengths 5.8942, 5.8942, 6.2796 Å; angles 62.01, 62.01, 60.00 degrees
With the nearest neighbours (Å) after each atom.
Fractional coordinates of all 11 atoms:
N 0.7719 0.7719 0.2224  1 Tc 1.85, 1 Fe 1.96
Tc 0.4252 0.4252 0.7243  3 N 1.85
N 0.7662 0.2281 0.7776  1 Tc 1.85, 1 Fe 1.96
N 0.7719 0.2338 0.2224  1 Tc 1.85, 1 Fe 1.96
Tc 0.5748 0.5748 0.2757  3 N 1.85
Ac 0.7823 0.7823 0.6531  9 N 2.76-3.02
N 0.2338 0.7719 0.2224  1 Tc 1.85, 1 Fe 1.96
Ac 0.2177 0.2177 0.3469  9 N 2.76-3.02
N 0.2281 0.2281 0.7776  1 Tc 1.85, 1 Fe 1.96
Fe 0.0000 0.0000 0.0000  6 N 1.96
N 0.2281 0.7662 0.7776  1 Tc 1.85, 1 Fe 1.96